Here is a geometry-optimized Mn2IrRh8 structure from Alexandria. Energies are from PBE.

Total magnetization (μB/atom): 0.434
Energy relative to the elements (meV/atom): 50
Electronic total energy (eV per atom): -7.769
Crystal system: orthorhombic

abc: 7.143 7.143 7.143
angles: 147.46 125.32 65.09
Sites, in units of the cell vectors:
1 Mn 0.199 0.199 0.000
2 Mn 0.801 0.801 0.000
3 Ir 0.500 0.500 0.000
4 Rh 0.058 0.347 0.711
5 Rh 0.204 0.000 0.204
6 Rh 0.347 0.847 0.500
7 Rh 0.364 0.653 0.711
8 Rh 0.636 0.347 0.289
9 Rh 0.653 0.153 0.500
10 Rh 0.796 0.000 0.796
11 Rh 0.942 0.653 0.289

---

Here is a geometry-optimized Mn2Ir3Rh8 structure from Alexandria. Energies are from PBE.

Total magnetization (μB/atom): 0.412
Energy relative to the elements (meV/atom): 252
Electronic total energy (eV per atom): -7.728
Crystal system: orthorhombic

abc: 7.754 7.754 3.800
angles: 90.00 90.00 117.78
Sites, in units of the cell vectors:
1 Mn 0.239 0.761 0.000
2 Mn 0.761 0.239 0.000
3 Ir 0.267 0.267 0.500
4 Ir 0.500 0.500 0.000
5 Ir 0.733 0.733 0.500
6 Rh 0.112 0.389 0.000
7 Rh 0.115 0.885 0.500
8 Rh 0.353 0.647 0.500
9 Rh 0.389 0.112 0.000
10 Rh 0.611 0.888 0.000
11 Rh 0.647 0.353 0.500
12 Rh 0.885 0.115 0.500
13 Rh 0.888 0.611 0.000

---

Here is a geometry-optimized MnIr2Rh structure from Alexandria. Energies are from PBE.

Total magnetization (μB/atom): 0.000
Energy relative to the elements (meV/atom): 934
Electronic total energy (eV per atom): -7.627
Crystal system: tetragonal

abc: 5.538 5.538 10.246
angles: 90.00 90.00 90.00
Sites, in units of the cell vectors:
1 Mn 0.000 0.000 0.000
2 Mn 0.000 0.500 0.250
3 Mn 0.500 0.000 0.750
4 Mn 0.500 0.500 0.500
5 Ir 0.225 0.250 0.125
6 Ir 0.250 0.725 0.375
7 Ir 0.250 0.775 0.875
8 Ir 0.275 0.250 0.625
9 Ir 0.725 0.750 0.625
10 Ir 0.750 0.225 0.875
11 Ir 0.750 0.275 0.375
12 Ir 0.775 0.750 0.125
13 Rh 0.000 0.000 0.500
14 Rh 0.000 0.500 0.750
15 Rh 0.500 0.000 0.250
16 Rh 0.500 0.500 0.000